# RbMn3I, optimized geometry, DFT PBEsol
data_RbMn3I
_cell_length_a 4.994
_cell_length_b 4.994
_cell_length_c 4.994
_cell_angle_alpha 90.00
_cell_angle_beta 90.00
_cell_angle_gamma 90.00
_space_group_name_H-M_alt 'P m -3 m'
_space_group_IT_number 221
_space_group_name_Hall '-P 4 2 3'
loop_
_atom_site_label
_atom_site_type_symbol
_atom_site_fract_x
_atom_site_fract_y
_atom_site_fract_z
Rb1 Rb 0.000 0.000 0.000
Mn1 Mn 0.000 0.500 0.500
I1 I 0.500 0.500 0.500
# DOS at the Fermi energy in states/eV/cell: 3.5
# Formation energy from raw total energies in eV/atom: 1.490
# Crystal system: cubic



# RbMnSb2I, optimized geometry, DFT PBEsol
data_RbMnSb2I
_cell_length_a 6.053
_cell_length_b 6.053
_cell_length_c 6.229
_cell_angle_alpha 90.00
_cell_angle_beta 90.00
_cell_angle_gamma 90.00
_space_group_name_H-M_alt 'P 4/m m m'
_space_group_IT_number 123
_space_group_name_Hall '-P 4 2'
loop_
_atom_site_label
_atom_site_type_symbol
_atom_site_fract_x
_atom_site_fract_y
_atom_site_fract_z
Rb1 Rb 0.000 0.000 0.000
Mn1 Mn 0.500 0.500 0.500
Sb1 Sb 0.000 0.500 0.000
I1 I 0.000 0.000 0.500
# DOS at the Fermi energy in states/eV/cell: 4.5
# Formation energy from raw total energies in eV/atom: 1.480
# Crystal system: tetragonal